1.
Entry from Alexandria: a geometry-optimized BeCoB structure (GGA-PBE).

Cell and atoms, written as CIF:
```
data_BeCoB
_chemical_formula_sum 'Be8 Co8 B8'
_cell_length_a 7.717
_cell_length_b 7.717
_cell_length_c 3.283
_cell_angle_alpha 90.00
_cell_angle_beta 90.00
_cell_angle_gamma 90.00
_symmetry_space_group_name_H-M 'I 4/m m m'
_symmetry_Int_Tables_number 139
_symmetry_space_group_name_Hall '-I 4 2'
loop_
_atom_site_label
_atom_site_fract_x
_atom_site_fract_y
_atom_site_fract_z
_atom_site_occupancy
Be1 0.000 0.374 0.000 1
Co1 0.000 0.219 0.500 1
B1 0.213 0.213 0.000 1
```

Offset from the most stable computed form, eV/atom: 0.397
Density, g cm⁻³: 5.351
Magnetization, μB/f.u.: 0.00
Formation energy, eV per atom: 0.1449
E, Ha/atom: -0.209


2.
Entry from Alexandria: a geometry-optimized DyGa4Bi structure (GGA-PBE).

Cell and atoms, written as CIF:
```
data_DyGa4Bi
_chemical_formula_sum 'Dy4 Ga16 Bi4'
_cell_length_a 8.002
_cell_length_b 8.002
_cell_length_c 8.002
_cell_angle_alpha 90.00
_cell_angle_beta 90.00
_cell_angle_gamma 90.00
_symmetry_space_group_name_H-M 'F -4 3 m'
_symmetry_Int_Tables_number 216
_symmetry_space_group_name_Hall 'F -4 2 3'
loop_
_atom_site_label
_atom_site_fract_x
_atom_site_fract_y
_atom_site_fract_z
_atom_site_occupancy
Dy1 0.000 0.000 0.000 1
Ga1 0.125 0.125 0.625 1
Bi1 0.250 0.250 0.250 1
```

Density, g cm⁻³: 8.432
Magnetization, μB/f.u.: 0.00
Formation energy, eV per atom: -0.2202
E, Ha/atom: -0.134


3.
Entry from Alexandria: a geometry-optimized RbNdMgCl6 structure (GGA-PBE).

Cell and atoms, written as CIF:
```
data_RbNdMgCl6
_chemical_formula_sum 'Rb2 Nd2 Mg2 Cl12'
_cell_length_a 6.9538
_cell_length_b 6.9538
_cell_length_c 14.4498
_cell_angle_alpha 90.00
_cell_angle_beta 90.00
_cell_angle_gamma 120.00
_symmetry_space_group_name_H-M 'P -3 1 c'
_symmetry_Int_Tables_number 163
_symmetry_space_group_name_Hall '-P 3 2c'
loop_
_atom_site_label
_atom_site_fract_x
_atom_site_fract_y
_atom_site_fract_z
_atom_site_occupancy
Rb1 0.0000 0.0000 0.0000 1
Nd1 0.3333 0.6667 0.2500 1
Mg1 0.3333 0.6667 0.7500 1
Cl1 0.0232 0.3867 0.6467 1
```

Density, g cm⁻³: 2.562
Magnetization, μB/f.u.: 0.00
E, Ha/atom: -0.152


4.
Entry from Alexandria: a geometry-optimized CeNbPbO6 structure (GGA-PBE).

Cell and atoms, written as CIF:
```
data_CeNbPbO6
_chemical_formula_sum 'Ce2 Nb2 Pb2 O12'
_cell_length_a 5.7284
_cell_length_b 5.7284
_cell_length_c 9.5943
_cell_angle_alpha 90.00
_cell_angle_beta 90.00
_cell_angle_gamma 120.00
_symmetry_space_group_name_H-M 'P -3 1 c'
_symmetry_Int_Tables_number 163
_symmetry_space_group_name_Hall '-P 3 2c'
loop_
_atom_site_label
_atom_site_fract_x
_atom_site_fract_y
_atom_site_fract_z
_atom_site_occupancy
Ce1 0.3333 0.6667 0.2500 1
Nb1 0.3333 0.6667 0.7500 1
Pb1 0.0000 0.0000 0.0000 1
O1 0.0298 0.3733 0.6374 1
```

Density, g cm⁻³: 6.532
Magnetization, μB/f.u.: 0.00
E, Ha/atom: -0.286


5.
Entry from Alexandria: a geometry-optimized BaTc2Pb structure (GGA-PBE).

Cell and atoms, written as CIF:
```
data_BaTc2Pb
_chemical_formula_sum 'Ba3 Tc6 Pb3'
_cell_length_a 4.2796
_cell_length_b 4.2796
_cell_length_c 20.7504
_cell_angle_alpha 90.00
_cell_angle_beta 90.00
_cell_angle_gamma 120.00
_symmetry_space_group_name_H-M 'R 3 m'
_symmetry_Int_Tables_number 160
_symmetry_space_group_name_Hall 'R 3 -2"'
loop_
_atom_site_label
_atom_site_fract_x
_atom_site_fract_y
_atom_site_fract_z
_atom_site_occupancy
Ba1 0.0000 0.0000 0.0000 1
Tc1 0.0000 0.0000 0.2154 1
Tc2 0.0000 0.0000 0.5351 1
Pb1 0.0000 0.0000 0.7957 1
```

Density, g cm⁻³: 8.182
Magnetization, μB/f.u.: 0.00
Formation energy, eV per atom: 0.2150
E, Ha/atom: -0.234


6.
Entry from Alexandria: a geometry-optimized KHfBO4 structure (GGA-PBE).

Cell and atoms, written as CIF:
```
data_KHfBO4
_chemical_formula_sum 'K4 Hf4 B4 O16'
_cell_length_a 7.880
_cell_length_b 7.880
_cell_length_c 7.880
_cell_angle_alpha 90.00
_cell_angle_beta 90.00
_cell_angle_gamma 90.00
_symmetry_space_group_name_H-M 'F -4 3 m'
_symmetry_Int_Tables_number 216
_symmetry_space_group_name_Hall 'F -4 2 3'
loop_
_atom_site_label
_atom_site_fract_x
_atom_site_fract_y
_atom_site_fract_z
_atom_site_occupancy
K1 0.000 0.000 0.000 1
Hf1 0.250 0.250 0.750 1
B1 0.000 0.000 0.500 1
O1 0.109 0.109 0.609 1
```

Density, g cm⁻³: 3.969
Magnetization, μB/f.u.: 0.00
E, Ha/atom: -0.293


7.
Entry from Alexandria: a geometry-optimized Zn2CrSi2 structure (GGA-PBE).

Cell and atoms, written as CIF:
```
data_Zn2CrSi2
_chemical_formula_sum 'Zn4 Cr2 Si4'
_cell_length_a 6.346
_cell_length_b 6.346
_cell_length_c 3.803
_cell_angle_alpha 90.00
_cell_angle_beta 90.00
_cell_angle_gamma 90.00
_symmetry_space_group_name_H-M 'P 4/m b m'
_symmetry_Int_Tables_number 127
_symmetry_space_group_name_Hall '-P 4 2ab'
loop_
_atom_site_label
_atom_site_fract_x
_atom_site_fract_y
_atom_site_fract_z
_atom_site_occupancy
Zn1 0.178 0.322 0.000 1
Cr1 0.000 0.000 0.500 1
Si1 0.132 0.632 0.500 1
```

Density, g cm⁻³: 5.182
Magnetization, μB/f.u.: 2.53
E, Ha/atom: -0.161


8.
Entry from Alexandria: a geometry-optimized DyLu2Ga structure (GGA-PBE).

Cell and atoms, written as CIF:
```
data_DyLu2Ga
_chemical_formula_sum 'Dy1 Lu2 Ga1'
_cell_length_a 3.469
_cell_length_b 3.469
_cell_length_c 8.700
_cell_angle_alpha 90.00
_cell_angle_beta 90.00
_cell_angle_gamma 90.00
_symmetry_space_group_name_H-M 'P 4/m m m'
_symmetry_Int_Tables_number 123
_symmetry_space_group_name_Hall '-P 4 2'
loop_
_atom_site_label
_atom_site_fract_x
_atom_site_fract_y
_atom_site_fract_z
_atom_site_occupancy
Dy1 0.000 0.000 0.000 1
Lu1 0.500 0.500 0.291 1
Ga1 0.000 0.000 0.500 1
```

Offset from the most stable computed form, eV/atom: 0.000
Density, g cm⁻³: 9.232
Magnetization, μB/f.u.: 0.00
Formation energy, eV per atom: -0.2907
E, Ha/atom: -0.164